No. 1
4
Lattice="-1.9650 3.1571 3.9365 -5.2333 -0.3060 1.3578 -1.4434 -2.1718 4.7459" Properties=species:S:1:pos:R:3 comment="PBE CeThMgHg, optimized geometry" delta_e_f_mev_per_atom=-29 vol_a3_per_atom=28.1 m_tot_mub_per_cell=1.19 pbc="T T T"
Th -2.1604 0.1698 2.5101
Ce -6.4812 0.5094 7.5302
Hg -4.3208 0.3396 5.0201
Mg 0.0000 0.0000 0.0000

No. 2
7
Lattice="4.7780 -0.0001 0.0000 -2.3891 4.1225 -0.3546 0.0000 -1.9816 9.2676" Properties=species:S:1:pos:R:3 comment="PBE Ce2ThMg2Hg2, optimized geometry" delta_e_f_mev_per_atom=-130 vol_a3_per_atom=25.6 m_tot_mub_per_cell=1.67 pbc="T T T"
Th 0.0000 0.0000 0.0000
Hg 2.3890 1.5278 1.6806
Hg 0.0000 0.6129 7.2324
Ce 2.3890 1.8000 4.9840
Mg 2.3890 -0.7897 7.0222
Ce 0.0000 0.3407 3.9290
Mg 0.0000 2.9305 1.8909

No. 3
4
Lattice="-4.6603 -1.7015 1.9518 -1.0793 -5.2187 0.1547 -0.1585 -2.5518 4.6783" Properties=species:S:1:pos:R:3 comment="PBE CeTmMgHg, optimized geometry" delta_e_f_mev_per_atom=-156 vol_a3_per_atom=26.8 m_tot_mub_per_cell=1.49 pbc="T T T"
Hg 0.0000 0.0000 0.0000
Mg -2.9491 -4.7360 3.3924
Tm -1.4745 -2.3680 1.6962
Ce -4.4236 -7.1040 5.0886

No. 4
8
Lattice="-1.1850 1.3080 4.7786 -4.4283 -1.4947 2.0263 1.7950 -7.0852 5.0997" Properties=species:S:1:pos:R:3 comment="PBE CeTmMg2Hg4, optimized geometry" delta_e_f_mev_per_atom=-408 vol_a3_per_atom=23.6 m_tot_mub_per_cell=0.92 pbc="T T T"
Tm -1.9092 -3.6360 5.9523
Ce 0.0000 0.0000 0.0000
Mg -0.9466 -1.8332 2.9823
Hg -0.5794 -6.1833 6.9792
Hg -4.2079 -2.8790 7.8903
Hg -3.2389 -1.0887 4.9253
Mg -2.8717 -5.4387 8.9223
Hg 0.3896 -4.3930 4.0143

No. 5
8
Lattice="-3.8356 3.3826 -0.6452 -4.5063 -1.5562 -1.9599 -5.7286 -1.1714 7.3232" Properties=species:S:1:pos:R:3 comment="PBE CeY2MgHg4, optimized geometry" delta_e_f_mev_per_atom=-403 vol_a3_per_atom=25.6 m_tot_mub_per_cell=1.24 pbc="T T T"
Hg -8.1050 -0.3185 5.3316
Y -3.5783 0.1271 1.3480
Hg -4.6144 -0.4986 4.2271
Y -10.4922 0.5278 3.3701
Hg -9.4561 1.1535 0.4910
Ce 0.0000 0.0000 0.0000
Mg -7.0352 0.3275 2.3590
Hg -5.9655 0.9735 -0.6135

No. 6
7
Lattice="-4.1461 0.5111 2.0906 -3.9324 -0.3230 -2.5007 -2.9536 -7.9782 1.3118" Properties=species:S:1:pos:R:3 comment="PBE CeMg2Zn2Hg2, optimized geometry" delta_e_f_mev_per_atom=-193 vol_a3_per_atom=22.1 m_tot_mub_per_cell=0.84 pbc="T T T"
Ce 0.0000 0.0000 0.0000
Zn -2.7511 -1.7337 0.1869
Mg -2.8473 -4.7013 0.7215
Hg -5.4491 -1.8322 0.0792
Zn -8.2809 -6.0565 0.7148
Hg -5.5829 -5.9580 0.8225
Mg -8.1847 -3.0888 0.1802

No. 7
8
Lattice="4.8778 0.0000 0.0000 2.4389 4.2243 0.0000 2.4389 1.4081 8.9207" Properties=species:S:1:pos:R:3 comment="PBE CeMg2ZnHg4, optimized geometry" delta_e_f_mev_per_atom=-206 vol_a3_per_atom=23.0 m_tot_mub_per_cell=0.93 pbc="T T T"
Hg 4.8778 2.8162 7.4799
Zn 4.8778 2.8162 4.4604
Hg 2.4389 1.4081 5.5407
Mg 7.3167 4.2243 6.5234
Mg 2.4389 1.4081 2.3974
Hg 4.8778 2.8162 1.4408
Ce 0.0000 0.0000 0.0000
Hg 7.3167 4.2243 3.3801

No. 8
4
Lattice="-2.8028 -2.2941 -1.0600 -0.6684 -3.1768 1.9245 -7.0957 2.8332 5.9126" Properties=species:S:1:pos:R:3 comment="PBE Ce2MnHg, optimized geometry" delta_e_f_mev_per_atom=252 vol_a3_per_atom=29.0 relative_energy_mev_per_atom=285 m_tot_mub_per_cell=0.00 pbc="T T T"
Hg 0.0000 0.0000 0.0000
Mn -5.2834 -1.3189 3.3886
Ce -5.0282 1.2119 3.9545
Ce -5.5387 -3.8496 2.8227